No. 1
The following is a DFT calculation (PBE) of crystalline Nd6Ga2Ir at its relaxed geometry.

Values from the calculation:
formation energy from the elements	-0.37	eV per atom
uncorrected energy	-5.204	eV per atom
Fermi-level density of states	20.64	states/eV per cell
crystal system	monoclinic
magnetic moment	0.000	μB per atom

a b c (Å): 6.064 8.683 11.423
angles (deg): 90.00 118.12 90.00
Space group P2_1/c (No. 14)
Inequivalent atoms, fractional coordinates:
Nd1 0.051 0.181 0.443 (multiplicity 4)
Nd2 0.343 0.669 0.439 (multiplicity 4)
Nd3 0.365 0.028 0.264 (multiplicity 4)
Ga1 0.172 0.127 0.751 (multiplicity 4)
Ir1 0.000 0.000 0.000 (multiplicity 2)

No. 2
The following is a DFT calculation (PBE) of crystalline TiCoW at its relaxed geometry.

Values from the calculation:
formation energy from the elements	-0.17	eV per atom
uncorrected energy	-9.492	eV per atom
Fermi-level density of states	56.20	states/eV per cell
crystal system	orthorhombic
magnetic moment	0.000	μB per atom

a b c (Å): 4.754 8.414 17.208
angles (deg): 90.00 90.00 90.00
Space group Fddd (No. 70, origin choice 2)
Inequivalent atoms, fractional coordinates:
Ti1 0.125 0.125 0.045 (multiplicity 16)
Co1 0.125 0.125 0.501 (multiplicity 16)
W1 0.125 0.295 0.625 (multiplicity 16)

No. 3
The following is a DFT calculation (PBE) of crystalline La2TlTe at its relaxed geometry.

Values from the calculation:
formation energy from raw total energies	-0.865	eV/atom
uncorrected energy	-4.706	eV per atom
Fermi-level density of states	13.77	states/eV per cell
crystal system	trigonal
magnetic moment	0.000	μB per atom

a b c (Å): 4.2931 4.2931 26.3217
angles (deg): 90.00 90.00 120.00
Space group R3m (No. 160, hexagonal axes)
Inequivalent atoms, fractional coordinates:
La1 0.0000 0.0000 0.0000 (multiplicity 3)
La2 0.0000 0.0000 0.1781 (multiplicity 3)
Tl1 0.0000 0.0000 0.4216 (multiplicity 3)
Te1 0.0000 0.0000 0.5898 (multiplicity 3)